[1]
The following is a PBE calculation of a relaxed structure of DyTaIr, from OQMD.

Results
Excess energy over the best structure of this formula in the dataset, eV/atom: 1.2113
Calculated total energy, eV for the cell shown: -22.129
Formation enthalpy at 0 K, eV/atom: 1.060
SG: F-43m, No. 216
Magnetization, μB per atom: 0.008

Cell lengths 4.5313, 4.5313, 4.5313 Å; angles 60.00, 60.00, 60.00 degrees
Fractional coordinates of all 3 atoms:
Dy: 0.0000 0.0000 0.0000
Ta: 0.2500 0.2500 0.2500
Ir: 0.7500 0.7500 0.7500

[2]
The following is a PBE calculation of a relaxed structure of ErOs2O4, from OQMD.

Results
Calculated total energy, eV for the cell shown: -107.638
SG: Fd-3m, No. 227
Magnetization, μB per atom: 0.143

Cell lengths 6.3209, 6.3209, 6.3209 Å; angles 60.00, 60.00, 60.00 degrees
Fractional coordinates of all 14 atoms:
Er: 0.1250 0.1250 0.1250
Er: 0.8750 0.8750 0.8750
Os: 0.0000 0.5000 0.5000
Os: 0.5000 0.0000 0.5000
Os: 0.5000 0.5000 0.0000
Os: 0.5000 0.5000 0.5000
O: 0.2648 0.2648 0.2648
O: 0.2648 0.2648 0.7056
O: 0.2648 0.7056 0.2648
O: 0.2944 0.7352 0.7352
O: 0.7056 0.2648 0.2648
O: 0.7352 0.2944 0.7352
O: 0.7352 0.7352 0.2944
O: 0.7352 0.7352 0.7352

[3]
The following is a PBE calculation of a relaxed structure of Zr2SI2N, from OQMD.

Results
Calculated total energy, eV for the cell shown: -39.704
SG: Pmm2, No. 25
Magnetization, μB per atom: 0.018

Cell lengths 3.7521, 4.7987, 9.2549 Å; angles 90.00, 90.00, 90.00 degrees
Fractional coordinates of all 6 atoms:
Zr: 0.0000 0.0000 0.0000
Zr: 0.5000 0.5000 0.1544
S: 0.5000 0.0000 0.1945
I: 0.0000 0.5000 0.4155
I: 0.5000 0.0000 0.7592
N: 0.0000 0.5000 0.0383

[4]
The following is a PBE calculation of a relaxed structure of BaPd, from OQMD.

Results
Calculated total energy, eV for the cell shown: -7.783
SG: P-6m2, No. 187

Cell lengths 4.3265, 4.3265, 4.0744 Å; angles 90.00, 90.00, 120.00 degrees
Fractional coordinates of all 2 atoms:
Ba: 0.0000 0.0000 0.0000
Pd: 0.6667 0.3333 0.5000

[5]
The following is a PBE calculation of a relaxed structure of YFeSbOs, from OQMD.

Results
Excess energy over the best structure of this formula in the dataset, eV/atom: 0.0000
Calculated total energy, eV for the cell shown: -29.932
SG: F-43m, No. 216
Magnetization, μB per atom: 0.003

Cell lengths 4.6041, 4.6041, 4.6041 Å; angles 60.00, 60.00, 60.00 degrees
Fractional coordinates of all 4 atoms:
Y: 0.0000 0.0000 0.0000
Fe: 0.7500 0.7500 0.7500
Sb: 0.5000 0.5000 0.5000
Os: 0.2500 0.2500 0.2500

[6]
The following is a PBE calculation of a relaxed structure of Zr2Bi, from OQMD.

Results
Calculated total energy, eV for the cell shown: -41.986
SG: Fd-3m, No. 227
Magnetization, μB per atom: 0.000

Cell lengths 5.9208, 5.9208, 5.9208 Å; angles 60.00, 60.00, 60.00 degrees
Fractional coordinates of all 6 atoms:
Zr: 0.0000 0.0000 0.0000
Zr: 0.0000 0.0000 0.5000
Zr: 0.0000 0.5000 0.0000
Zr: 0.5000 0.0000 0.0000
Bi: 0.3750 0.3750 0.3750
Bi: 0.6250 0.6250 0.6250

[7]
The following is a PBE calculation of a relaxed structure of DyHoPO, from OQMD.

Results
Excess energy over the best structure of this formula in the dataset, eV/atom: 0.0056
Calculated total energy, eV for the cell shown: -55.224
SG: Pmc2_1, No. 26
Magnetization, μB per atom: 0.002

Cell lengths 4.1211, 7.5450, 5.5971 Å; angles 90.00, 90.00, 90.00 degrees
Fractional coordinates of all 8 atoms:
Dy: 0.0000 0.1236 0.0000
Dy: 0.0000 0.8764 0.5000
Ho: 0.5000 0.2970 0.4490
Ho: 0.5000 0.7030 0.9490
P: 0.5000 0.3433 0.9454
P: 0.5000 0.6567 0.4454
O: 0.0000 0.1731 0.4008
O: 0.0000 0.8269 0.9008

[8]
The following is a PBE calculation of a relaxed structure of ErTmZr2Bi2, from OQMD.

Results
Calculated total energy, eV for the cell shown: -37.335
SG: I4mm, No. 107
Magnetization, μB per atom: 0.012

Cell lengths 8.9076, 8.9076, 8.9076 Å; angles 151.98, 151.98, 40.04 degrees
Fractional coordinates of all 6 atoms:
Er: 0.0000 0.0000 0.0000
Tm: 0.3497 0.3497 0.0000
Zr: 0.1752 0.6752 0.5000
Zr: 0.6752 0.1752 0.5000
Bi: 0.5385 0.5385 0.0000
Bi: 0.8116 0.8116 0.0000

Question: Which value of calculated total energy does entry 3 give?
Answer: -39.704 eV for the cell shown